DFT (GGA+U) results for an optimized crystal structure of NaCoPbF6.

total energy = -4.625 eV/atom

Unit cell a=5.5146 b=5.5146 c=5.0798 alpha=90.00 beta=90.00 gamma=120.00
Atoms (fractional coordinates):
Na 0.0000 0.0000 0.0000
Co 0.3333 0.6667 0.0000
Pb 0.6667 0.3333 0.5000
F 0.0553 0.3862 0.2121
F 0.0553 0.6690 0.7879
F 0.3310 0.3862 0.7879
F 0.3310 0.9447 0.2121
F 0.6138 0.6690 0.2121
F 0.6138 0.9447 0.7879